Entry 1:
Density functional theory data (PBE) for a relaxed structure of NdMg4Au4.

Structure (CIF):
```
data_NdMg4Au4
_cell_length_a 6.9403
_cell_length_b 6.9403
_cell_length_c 8.3801
_cell_angle_alpha 90.00
_cell_angle_beta 90.00
_cell_angle_gamma 90.00
_space_group_name_H-M_alt 'P 42/n m c'
_space_group_IT_number 137
loop_
_space_group_symop_operation_xyz
'x,y,z'
'-x,-y,-z'
'-y+1/2,x,z+1/2'
'y+1/2,-x,-z+1/2'
'-x+1/2,-y+1/2,z'
'x+1/2,y+1/2,-z'
'y,-x+1/2,z+1/2'
'-y,x+1/2,-z+1/2'
'x+1/2,-y,-z'
'-x+1/2,y,z'
'-y,-x,-z+1/2'
'y,x,z+1/2'
'-x,y+1/2,-z'
'x,-y+1/2,z'
'y+1/2,x+1/2,-z+1/2'
'-y+1/2,-x+1/2,z+1/2'
loop_
_atom_site_label
_atom_site_fract_x
_atom_site_fract_y
_atom_site_fract_z
Nd1 0.2500 0.7500 0.2500
Mg1 0.9998 0.2500 0.1321
Au1 0.0389 0.2500 0.4549
```

M_tot = 0.000 μB/atom
ΔH_f (0 K) = -0.499 eV/atom
Crystal system = tetragonal
Total energy = -57.491 eV for the cell shown
Density of states at the Fermi level = 6.54 states/eV per cell
ρ = 8.469 Mg/m³

---

Entry 2:
Density functional theory data (PBE) for a relaxed structure of SrCrPt2.

Structure (CIF):
```
data_SrCrPt2
_cell_length_a 6.7950
_cell_length_b 6.7950
_cell_length_c 6.7950
_cell_angle_alpha 90.00
_cell_angle_beta 90.00
_cell_angle_gamma 90.00
_space_group_name_H-M_alt 'F -4 3 m'
_space_group_IT_number 216
_space_group_name_Hall 'F -4 2 3'
loop_
_atom_site_label
_atom_site_fract_x
_atom_site_fract_y
_atom_site_fract_z
Sr1 0.0000 0.0000 0.0000
Cr1 0.2500 0.2500 0.2500
Pt1 0.0000 0.0000 0.5000
Pt2 0.2500 0.2500 0.7500
```

M_tot = 1.102 μB/atom
ΔH_f (0 K) = 0.050 eV/atom
Crystal system = cubic
Total energy = -92.742 eV for the cell shown
Density of states at the Fermi level = 7.02 states/eV per cell
ρ = 11.216 Mg/m³

---

Entry 3:
Density functional theory data (PBE) for a relaxed structure of DyYPu.

Structure (CIF):
```
data_DyYPu
_cell_length_a 3.5092
_cell_length_b 3.5092
_cell_length_c 14.8229
_cell_angle_alpha 90.00
_cell_angle_beta 90.00
_cell_angle_gamma 90.00
_space_group_name_H-M_alt 'I 4 m m'
_space_group_IT_number 107
_space_group_name_Hall 'I 4 -2'
loop_
_atom_site_label
_atom_site_fract_x
_atom_site_fract_y
_atom_site_fract_z
Dy1 0.0000 0.0000 0.0000
Y1 0.0000 0.0000 0.6719
Pu1 0.0000 0.0000 0.3376
```

M_tot = 2.052 μB/atom
ΔH_f (0 K) = 0.116 eV/atom
Crystal system = tetragonal
Total energy = -50.103 eV for the cell shown
Density of states at the Fermi level = 14.31 states/eV per cell
ρ = 9.013 Mg/m³

---

Entry 4:
Density functional theory data (PBE) for a relaxed structure of Sr6PtAu5.

Structure (CIF):
```
data_Sr6PtAu5
_cell_length_a 5.3988
_cell_length_b 7.6738
_cell_length_c 8.4809
_cell_angle_alpha 90.00
_cell_angle_beta 108.60
_cell_angle_gamma 90.00
_space_group_name_H-M_alt 'P 1 2/m 1'
_space_group_IT_number 10
loop_
_space_group_symop_operation_xyz
'x,y,z'
'-x,-y,-z'
'-x,y,-z'
'x,-y,z'
loop_
_atom_site_label
_atom_site_fract_x
_atom_site_fract_y
_atom_site_fract_z
Sr1 0.0000 0.2421 0.0000
Sr2 0.3374 0.2467 0.6736
Pt1 0.5000 0.0000 0.0000
Au1 0.1661 0.5000 0.3343
Au2 0.1685 0.0000 0.3393
Au3 0.5000 0.5000 0.0000
```

M_tot = 0.000 μB/atom
ΔH_f (0 K) = -0.742 eV/atom
Crystal system = monoclinic
Total energy = -41.421 eV for the cell shown
Density of states at the Fermi level = 6.98 states/eV per cell
ρ = 8.505 Mg/m³

---

Entry 5:
Density functional theory data (PBE) for a relaxed structure of NdPuN.

Structure (CIF):
```
data_NdPuN
_cell_length_a 6.0802
_cell_length_b 3.3760
_cell_length_c 12.0561
_cell_angle_alpha 90.00
_cell_angle_beta 90.00
_cell_angle_gamma 90.00
_space_group_name_H-M_alt 'P n m a'
_space_group_IT_number 62
loop_
_space_group_symop_operation_xyz
'x,y,z'
'-x,-y,-z'
'-x+1/2,-y,z+1/2'
'x+1/2,y,-z+1/2'
'x+1/2,-y+1/2,-z+1/2'
'-x+1/2,y+1/2,z+1/2'
'-x,y+1/2,-z'
'x,-y+1/2,z'
loop_
_atom_site_label
_atom_site_fract_x
_atom_site_fract_y
_atom_site_fract_z
Nd1 0.1276 0.2500 0.1903
Pu1 0.1033 0.2500 0.4600
N1 0.0658 0.2500 0.6668
```

Formation energy from raw total energies = -0.288 eV/atom
M_tot = 0.538 μB/atom
Crystal system = orthorhombic
Total energy = -113.157 eV for the cell shown
Density of states at the Fermi level = 17.15 states/eV per cell
ρ = 10.796 Mg/m³

---

Entry 6:
Density functional theory data (PBE) for a relaxed structure of DySc7In4.

Structure (CIF):
```
data_DySc7In4
_cell_length_a 13.6056
_cell_length_b 5.2961
_cell_length_c 10.1635
_cell_angle_alpha 90.00
_cell_angle_beta 124.55
_cell_angle_gamma 90.00
_space_group_name_H-M_alt 'C 1 2/m 1'
_space_group_IT_number 12
loop_
_space_group_symop_operation_xyz
'x,y,z'
'-x,-y,-z'
'-x,y,-z'
'x,-y,z'
'x+1/2,y+1/2,z'
'-x+1/2,-y+1/2,-z'
'-x+1/2,y+1/2,-z'
'x+1/2,-y+1/2,z'
loop_
_atom_site_label
_atom_site_fract_x
_atom_site_fract_y
_atom_site_fract_z
Dy1 0.0000 0.0000 0.0000
Sc1 0.0000 0.5000 0.0000
Sc2 0.0589 0.0000 0.3896
Sc3 0.2034 0.5000 0.6391
Sc4 0.2160 0.0000 0.8736
In1 0.0685 0.5000 0.7719
In2 0.1850 0.5000 0.3323
```

M_tot = 0.000 μB/atom
ΔH_f (0 K) = -0.069 eV/atom
Crystal system = monoclinic
Total energy = -121.406 eV for the cell shown
Density of states at the Fermi level = 26.63 states/eV per cell
ρ = 5.156 Mg/m³

---

Entry 7:
Density functional theory data (PBE) for a relaxed structure of Cs3KNi2Cl9.

Structure (CIF):
```
data_Cs3KNi2Cl9
_cell_length_a 7.3004
_cell_length_b 7.3004
_cell_length_c 9.3020
_cell_angle_alpha 90.00
_cell_angle_beta 90.00
_cell_angle_gamma 120.00
_space_group_name_H-M_alt 'P -3 m 1'
_space_group_IT_number 164
_space_group_name_Hall '-P 3 2"'
loop_
_atom_site_label
_atom_site_fract_x
_atom_site_fract_y
_atom_site_fract_z
Cs1 0.0000 0.0000 0.0000
Cs2 0.3333 0.6667 0.6815
K1 0.0000 0.0000 0.5000
Ni1 0.3333 0.6667 0.1553
Cl1 0.0000 0.5000 0.0000
Cl2 0.1838 0.3675 0.2944
```

Formation energy from raw total energies = -1.272 eV/atom
M_tot = 0.202 μB/atom
Crystal system = trigonal
Total energy = -50.917 eV for the cell shown
Density of states at the Fermi level = 2.37 states/eV per cell
ρ = 3.381 Mg/m³

---

Entry 8:
Density functional theory data (PBE) for a relaxed structure of TlVSeN2.

Structure (CIF):
```
data_TlVSeN2
_cell_length_a 4.2116
_cell_length_b 4.2116
_cell_length_c 5.7952
_cell_angle_alpha 90.00
_cell_angle_beta 90.00
_cell_angle_gamma 90.00
_space_group_name_H-M_alt 'P 4/m m m'
_space_group_IT_number 123
_space_group_name_Hall '-P 4 2'
loop_
_atom_site_label
_atom_site_fract_x
_atom_site_fract_y
_atom_site_fract_z
Tl1 0.0000 0.0000 0.0000
V1 0.5000 0.5000 0.5000
Se1 0.0000 0.0000 0.5000
N1 0.0000 0.5000 0.0000
```

Formation energy from raw total energies = 1.814 eV/atom
M_tot = 0.086 μB/atom
Crystal system = tetragonal
Total energy = -22.549 eV for the cell shown
Density of states at the Fermi level = 3.11 states/eV per cell
ρ = 5.853 Mg/m³

---

Question: Among the records above, which one has the lowest total energy?
Answer: DySc7In4

---

Question: Which value of density of states at the Fermi level does entry 7 give?
Answer: 2.37 states/eV per cell

---

Question: The highest density of states at the Fermi level belongs to which entry?
Answer: DySc7In4